one:
MgCrSb2 after structural relaxation, computed with GGA-PBEsol.

Values from the calculation:
ρ ... 6.157 g cm⁻³
D(E_F) ... 4.16 states/eV per cell
Total magnetic moment ... 3.4 μB per formula unit

Lattice parameters (Å, degrees): 4.217 5.126 7.981 90.00 90.00 90.00
Space group Immm (No. 71)
Inequivalent atoms, fractional coordinates:
Mg1 0.000 0.000 0.000
Cr1 0.000 0.000 0.500
Sb1 0.000 0.500 0.233


two:
MgCrSb2 after structural relaxation, computed with GGA-PBEsol.

Values from the calculation:
ρ ... 5.905 g cm⁻³
D(E_F) ... 9.91 states/eV per cell
Total magnetic moment ... 4.0 μB per formula unit

Lattice parameters (Å, degrees): 7.112 7.112 7.112 90.00 90.00 90.00
Space group F-43m (No. 216)
Inequivalent atoms, fractional coordinates:
Mg1 0.000 0.000 0.000
Cr1 0.250 0.250 0.750
Sb1 0.000 0.000 0.500
Sb2 0.250 0.250 0.250


It turns out one is the most stable, with the second structure 242 meV/atom higher.


one:
Mg2CrSb after structural relaxation, computed with GGA-PBEsol.

Values from the calculation:
ρ ... 4.643 g cm⁻³
D(E_F) ... 2.15 states/eV per cell
Total magnetic moment ... 3.0 μB per formula unit

Lattice parameters (Å, degrees): 3.628 3.628 6.042 90.00 90.00 90.00
Space group P4mm (No. 99)
Inequivalent atoms, fractional coordinates:
Mg1 0.000 0.000 0.000
Mg2 0.500 0.500 0.258
Cr1 0.500 0.500 0.740
Sb1 0.000 0.000 0.538


two:
Mg2CrSb after structural relaxation, computed with GGA-PBEsol.

Values from the calculation:
ρ ... 4.710 g cm⁻³
D(E_F) ... 1.43 states/eV per cell
Total magnetic moment ... 4.0 μB per formula unit

Lattice parameters (Å, degrees): 4.271 4.271 4.298 90.00 90.00 90.00
Space group P4/mmm (No. 123)
Inequivalent atoms, fractional coordinates:
Mg1 0.000 0.500 0.000
Cr1 0.000 0.000 0.500
Sb1 0.500 0.500 0.500


It turns out two is the most stable, with the second structure 86 meV/atom higher.


one:
Mg2CrTc after structural relaxation, computed with GGA-PBEsol.

Values from the calculation:
ρ ... 5.505 g cm⁻³
D(E_F) ... 3.31 states/eV per cell
Total magnetic moment ... 0.0 μB per formula unit

Lattice parameters (Å, degrees): 2.602 2.602 8.851 90.00 90.00 90.00
Space group P4/mmm (No. 123)
Inequivalent atoms, fractional coordinates:
Mg1 0.000 0.000 0.245
Cr1 0.500 0.500 0.000
Tc1 0.500 0.500 0.500


two:
Mg2CrTc after structural relaxation, computed with GGA-PBEsol.

Values from the calculation:
ρ ... 5.115 g cm⁻³
D(E_F) ... 22.63 states/eV per cell
Total magnetic moment ... 3.5 μB per formula unit

Lattice parameters (Å, degrees): 6.365 6.365 6.365 90.00 90.00 90.00
Space group Fm-3m (No. 225)
Inequivalent atoms, fractional coordinates:
Mg1 0.250 0.250 0.250
Cr1 0.000 0.000 0.000
Tc1 0.000 0.000 0.500


It turns out one is the most stable, with the second structure 117 meV/atom higher.


one:
MgCrW after structural relaxation, computed with GGA-PBEsol.

Values from the calculation:
ρ ... 8.059 g cm⁻³
D(E_F) ... 9.34 states/eV per cell
Total magnetic moment ... 0.3 μB per formula unit

Lattice parameters (Å, degrees): 5.985 5.985 5.985 90.00 90.00 90.00
Space group F-43m (No. 216)
Inequivalent atoms, fractional coordinates:
Mg1 0.000 0.000 0.000
Cr1 0.000 0.000 0.500
W1 0.250 0.250 0.250


two:
MgCrW after structural relaxation, computed with GGA-PBEsol.

Values from the calculation:
ρ ... 9.539 g cm⁻³
D(E_F) ... 4.56 states/eV per cell
Total magnetic moment ... 0.0 μB per formula unit

Lattice parameters (Å, degrees): 2.596 2.596 13.440 90.00 90.00 90.00
Space group I4mm (No. 107)
Inequivalent atoms, fractional coordinates:
Mg1 0.000 0.000 0.000
Cr1 0.000 0.000 0.337
W1 0.000 0.000 0.677


It turns out two is the most stable, with the second structure 770 meV/atom higher.


one:
Y2MgCr2 after structural relaxation, computed with GGA-PBEsol.

Values from the calculation:
ρ ... 4.702 g cm⁻³
D(E_F) ... 12.41 states/eV per cell
Total magnetic moment ... 0.0 μB per formula unit

Lattice parameters (Å, degrees): 3.279 3.279 20.106 90.00 90.00 90.00
Space group I4/mmm (No. 139)
Inequivalent atoms, fractional coordinates:
Y1 0.000 0.000 0.128
Mg1 0.000 0.000 0.500
Cr1 0.000 0.500 0.250


two:
Y2MgCr2 after structural relaxation, computed with GGA-PBEsol.

Values from the calculation:
ρ ... 4.365 g cm⁻³
D(E_F) ... 15.60 states/eV per cell
Total magnetic moment ... 0.0 μB per formula unit

Lattice parameters (Å, degrees): 4.523 4.523 11.385 90.00 90.00 90.00
Space group I4/mmm (No. 139)
Inequivalent atoms, fractional coordinates:
Y1 0.000 0.500 0.250
Mg1 0.000 0.000 0.000
Cr1 0.000 0.000 0.422


It turns out one is the most stable, with the second structure 419 meV/atom higher.


one:
MnCrOs after structural relaxation, computed with GGA-PBEsol.

Values from the calculation:
ρ ... 13.523 g cm⁻³
D(E_F) ... 3.61 states/eV per cell
Total magnetic moment ... 0.3 μB per formula unit

Lattice parameters (Å, degrees): 2.6112 2.6112 6.1795 90.00 90.00 120.00
Space group P3m1 (No. 156)
Inequivalent atoms, fractional coordinates:
Mn1 0.0000 0.0000 0.0000
Cr1 0.6667 0.3333 0.3128
Os1 0.3333 0.6667 0.6575


two:
MnCrOs after structural relaxation, computed with GGA-PBEsol.

Values from the calculation:
ρ ... 13.807 g cm⁻³
D(E_F) ... 2.75 states/eV per cell
Total magnetic moment ... 0.0 μB per formula unit

Lattice parameters (Å, degrees): 3.9951 3.9951 2.5856 90.00 90.00 120.00
Space group P-6m2 (No. 187)
Inequivalent atoms, fractional coordinates:
Mn1 0.0000 0.0000 0.0000
Cr1 0.3333 0.6667 0.0000
Os1 0.6667 0.3333 0.5000


It turns out two is the most stable, with the second structure 155 meV/atom higher.


one:
MnCrRe after structural relaxation, computed with GGA-PBEsol.

Values from the calculation:
ρ ... 13.120 g cm⁻³
D(E_F) ... 3.77 states/eV per cell
Total magnetic moment ... 0.0 μB per formula unit

Lattice parameters (Å, degrees): 2.6270 2.6270 6.2077 90.00 90.00 120.00
Space group P3m1 (No. 156)
Inequivalent atoms, fractional coordinates:
Mn1 0.0000 0.0000 0.0000
Cr1 0.3333 0.6667 0.3010
Re1 0.6667 0.3333 0.6576


two:
MnCrRe after structural relaxation, computed with GGA-PBEsol.

Values from the calculation:
ρ ... 13.012 g cm⁻³
D(E_F) ... 11.14 states/eV per cell
Total magnetic moment ... 1.6 μB per formula unit

Lattice parameters (Å, degrees): 3.005 4.161 11.968 90.00 90.00 90.00
Space group Fmm2 (No. 42)
Inequivalent atoms, fractional coordinates:
Mn1 0.000 0.000 0.000
Cr1 0.000 0.000 0.346
Re1 0.000 0.000 0.673


It turns out two is the most stable, with the second structure 97 meV/atom higher.


one:
TaMnCr2 after structural relaxation, computed with GGA-PBEsol.

Values from the calculation:
ρ ... 11.153 g cm⁻³
D(E_F) ... 7.08 states/eV per cell
Total magnetic moment ... 0.2 μB per formula unit

Lattice parameters (Å, degrees): 4.997 8.240 2.619 90.00 110.19 90.00
Space group C2/m (No. 12)
Inequivalent atoms, fractional coordinates:
Ta1 0.000 0.000 0.000
Mn1 0.000 0.500 0.000
Cr1 0.250 0.250 0.500


two:
TaMnCr2 after structural relaxation, computed with GGA-PBEsol.

Values from the calculation:
ρ ... 11.197 g cm⁻³
D(E_F) ... 5.78 states/eV per cell
Total magnetic moment ... 0.0 μB per formula unit

Lattice parameters (Å, degrees): 2.940 4.116 8.332 90.00 90.00 90.00
Space group Immm (No. 71)
Inequivalent atoms, fractional coordinates:
Ta1 0.000 0.000 0.000
Mn1 0.000 0.000 0.500
Cr1 0.000 0.500 0.245


It turns out two is the most stable, with the second structure 88 meV/atom higher.


one:
MnTlCr after structural relaxation, computed with GGA-PBEsol.

Values from the calculation:
ρ ... 9.011 g cm⁻³
D(E_F) ... 15.81 states/eV per cell
Total magnetic moment ... 0.2 μB per formula unit

Lattice parameters (Å, degrees): 6.122 6.122 6.122 90.00 90.00 90.00
Space group F-43m (No. 216)
Inequivalent atoms, fractional coordinates:
Mn1 0.000 0.000 0.000
Tl1 0.000 0.000 0.500
Cr1 0.250 0.250 0.250


two:
MnTlCr after structural relaxation, computed with GGA-PBEsol.

Values from the calculation:
ρ ... 10.709 g cm⁻³
D(E_F) ... 1.56 states/eV per cell
Total magnetic moment ... 0.1 μB per formula unit

Lattice parameters (Å, degrees): 2.9947 2.9947 6.2157 90.00 90.00 120.00
Space group P3m1 (No. 156)
Inequivalent atoms, fractional coordinates:
Mn1 0.0000 0.0000 0.0000
Tl1 0.6667 0.3333 0.6188
Cr1 0.3333 0.6667 0.2297


It turns out two is the most stable, with the second structure 272 meV/atom higher.


one:
MnCrW after structural relaxation, computed with GGA-PBEsol.

Values from the calculation:
ρ ... 12.753 g cm⁻³
D(E_F) ... 3.90 states/eV per cell
Total magnetic moment ... 1.0 μB per formula unit

Lattice parameters (Å, degrees): 4.1122 4.1122 2.5853 90.00 90.00 120.00
Space group P3m1 (No. 156)
Inequivalent atoms, fractional coordinates:
Mn1 0.0000 0.0000 0.0000
Cr1 0.6667 0.3333 0.6693
W1 0.3333 0.6667 0.3423


two:
MnCrW after structural relaxation, computed with GGA-PBEsol.

Values from the calculation:
ρ ... 12.880 g cm⁻³
D(E_F) ... 6.30 states/eV per cell
Total magnetic moment ... 0.0 μB per formula unit

Lattice parameters (Å, degrees): 2.751 2.751 9.907 90.00 90.00 90.00
Space group I4mm (No. 107)
Inequivalent atoms, fractional coordinates:
Mn1 0.000 0.000 0.000
Cr1 0.000 0.000 0.376
W1 0.000 0.000 0.685


It turns out two is the most stable, with the second structure 14 meV/atom higher.


one:
YMnCr2 after structural relaxation, computed with GGA-PBEsol.

Values from the calculation:
ρ ... 6.694 g cm⁻³
D(E_F) ... 4.55 states/eV per cell
Total magnetic moment ... 0.0 μB per formula unit

Lattice parameters (Å, degrees): 2.895 3.391 6.328 90.00 98.32 90.00
Space group P2/m (No. 10)
Inequivalent atoms, fractional coordinates:
Y1 0.000 0.000 0.000
Mn1 0.000 0.000 0.500
Cr1 0.434 0.500 0.659


two:
YMnCr2 after structural relaxation, computed with GGA-PBEsol.

Values from the calculation:
ρ ... 6.722 g cm⁻³
D(E_F) ... 4.45 states/eV per cell
Total magnetic moment ... 0.7 μB per formula unit

Lattice parameters (Å, degrees): 3.056 3.056 6.554 90.00 90.00 90.00
Space group P4/mmm (No. 123)
Inequivalent atoms, fractional coordinates:
Y1 0.000 0.000 0.000
Mn1 0.000 0.000 0.500
Cr1 0.500 0.500 0.341


It turns out two is the most stable, with the second structure 7 meV/atom higher.


one:
Cr2Mo after structural relaxation, computed with GGA-PBEsol.

Values from the calculation:
ρ ... 8.798 g cm⁻³
D(E_F) ... 4.26 states/eV per cell
Total magnetic moment ... 0.0 μB per formula unit

Lattice parameters (Å, degrees): 2.932 2.932 8.779 90.00 90.00 90.00
Space group I4/mmm (No. 139)
Inequivalent atoms, fractional coordinates:
Cr1 0.000 0.000 0.172
Mo1 0.000 0.000 0.500


two:
Cr2Mo after structural relaxation, computed with GGA-PBEsol.

Values from the calculation:
ρ ... 8.771 g cm⁻³
D(E_F) ... 1.86 states/eV per cell
Total magnetic moment ... 0.0 μB per formula unit

Lattice parameters (Å, degrees): 4.1236 4.1236 2.5703 90.00 90.00 120.00
Space group P-3m1 (No. 164)
Inequivalent atoms, fractional coordinates:
Cr1 0.3333 0.6667 0.1641
Mo1 0.0000 0.0000 0.5000


three:
Cr2Mo after structural relaxation, computed with GGA-PBEsol.

Values from the calculation:
ρ ... 8.756 g cm⁻³
D(E_F) ... 7.88 states/eV per cell
Total magnetic moment ... 0.0 μB per formula unit

Lattice parameters (Å, degrees): 2.947 4.197 12.262 90.00 90.00 90.00
Space group Fmmm (No. 69)
Inequivalent atoms, fractional coordinates:
Cr1 0.000 0.000 0.174
Mo1 0.000 0.000 0.500


four:
Cr2Mo after structural relaxation, computed with GGA-PBEsol.

Values from the calculation:
ρ ... 8.091 g cm⁻³
D(E_F) ... 18.07 states/eV per cell
Total magnetic moment ... 0.0 μB per formula unit

Lattice parameters (Å, degrees): 5.560 5.560 5.310 90.00 90.00 90.00
Space group I4/mcm (No. 140)
Inequivalent atoms, fractional coordinates:
Cr1 0.146 0.354 0.000
Mo1 0.000 0.000 0.250


It turns out one is the most stable, with the second structure 10 meV/atom higher.